Record 1
# InSi2Os | Alexandria | PBE | relaxed
data_InSi2Os
_chemical_formula_sum 'In1 Si2 Os1'
_space_group_name_H-M_alt 'P 1'
_space_group_IT_number 1
_cell_length_a 3.2040
_cell_length_b 4.5538
_cell_length_c 4.4618
_cell_angle_alpha 90.00
_cell_angle_beta 90.00
_cell_angle_gamma 90.00
loop_
_space_group_symop_operation_xyz
'x,y,z'
loop_
_atom_site_label
_atom_site_type_symbol
_atom_site_fract_x
_atom_site_fract_y
_atom_site_fract_z
In1 In 0.5000 0.0000 0.5000
Si1 Si 0.0000 0.0000 0.0000
Si2 Si 0.5000 0.5000 0.0000
Os1 Os 0.0000 0.5000 0.5000
# Total energy, eV per atom: -5.55
# Fermi-level density of states, states/eV per cell: 1.74
# Space group: Pmmm, No. 47
# Magnetic moment, μB per formula unit: 0.0
# ΔE_f (raw), kJ per mole of atoms: 63

---

Record 2
# InSi3Os | Alexandria | PBE | relaxed
data_InSi3Os
_chemical_formula_sum 'In1 Si3 Os1'
_space_group_name_H-M_alt 'P 1'
_space_group_IT_number 1
_cell_length_a 4.7036
_cell_length_b 4.7036
_cell_length_c 4.7036
_cell_angle_alpha 90.00
_cell_angle_beta 90.00
_cell_angle_gamma 90.00
loop_
_space_group_symop_operation_xyz
'x,y,z'
loop_
_atom_site_label
_atom_site_type_symbol
_atom_site_fract_x
_atom_site_fract_y
_atom_site_fract_z
Si1 Si 0.5000 0.0000 0.0000
Si2 Si 0.0000 0.0000 0.5000
Si3 Si 0.0000 0.5000 0.0000
In1 In 0.5000 0.5000 0.5000
Os1 Os 0.0000 0.0000 0.0000
# Total energy, eV per atom: -5.60
# Fermi-level density of states, states/eV per cell: 2.85
# Space group: Pm-3m, No. 221
# E above lowest polymorph, meV/atom: 0.0
# Magnetic moment, μB per formula unit: 0.0
# ΔE_f (raw), kJ per mole of atoms: 44